MnCo3H: optimized geometry, PBE-GGA.

```
MnCo3H
1.0
4.156 0.000 0.000
0.000 5.040 0.000
-0.008 0.000 4.520
Mn Co H
2 6 2
Direct
0.249 0.250 0.136 Mn
0.751 0.750 0.864 Mn
0.241 0.506 0.658 Co
0.241 0.750 0.167 Co
0.241 0.994 0.658 Co
0.759 0.006 0.342 Co
0.759 0.250 0.833 Co
0.759 0.494 0.342 Co
0.491 0.250 0.502 H
0.509 0.750 0.498 H
```

## Properties
The value obtained for the total energy is -6.6991 eV/atom. As for the total magnetization: 14.3 μB/cell.

Na2AgBiCl6: optimized geometry, PBE-GGA.

```
Na2AgBiCl6
1.0
3.530 2.038 6.319
-3.530 2.038 6.319
0.000 -4.077 6.319
Na Ag Bi Cl
2 1 1 6
Direct
0.000 0.000 0.000 Na
0.493 0.493 0.493 Na
0.292 0.292 0.292 Ag
0.801 0.801 0.801 Bi
0.076 0.415 0.688 Cl
0.190 0.902 0.586 Cl
0.415 0.688 0.076 Cl
0.586 0.190 0.902 Cl
0.688 0.076 0.415 Cl
0.902 0.586 0.190 Cl
```

## Properties
The calculation puts the uncorrected formation energy at -1.214 eV per atom. As for the total magnetization: 0.0 μB/cell.

TcOs2: optimized geometry, PBE-GGA.

```
TcOs2
1.0
4.317 0.000 0.000
-2.159 3.739 0.000
0.000 0.000 5.447
Tc Os
2 4
Direct
0.333 0.667 0.250 Tc
0.667 0.333 0.750 Tc
0.000 0.000 0.000 Os
0.000 0.000 0.500 Os
0.333 0.667 0.750 Os
0.667 0.333 0.250 Os
```

## Properties
As for the calculated formation energy: 0.19 eV/atom. As for the total magnetization: 0.0 μB/cell.

Sm2HgSe: optimized geometry, PBE-GGA.

```
Sm2HgSe
1.0
3.563 0.000 0.000
0.000 3.563 0.000
0.000 0.000 8.031
Sm Hg Se
2 1 1
Direct
0.000 0.000 0.234 Sm
0.000 0.000 0.766 Sm
0.500 0.500 0.500 Hg
0.500 0.500 0.000 Se
```

## Properties
The calculation puts the uncorrected formation energy at -0.944 eV per atom. As for the total magnetization: 0.3 μB/cell.

NdHo2Ga: optimized geometry, PBE-GGA.

```
NdHo2Ga
1.0
4.772 0.000 0.000
0.000 4.772 0.000
0.000 0.000 4.729
Nd Ho Ga
1 2 1
Direct
0.000 0.000 0.000 Nd
0.000 0.500 0.500 Ho
0.500 0.000 0.500 Ho
0.500 0.500 0.000 Ga
```

## Properties
As for the calculated formation energy: -0.23 eV/atom. As for the total magnetization: 0.0 μB/cell.

TbNd2Pb3: optimized geometry, PBE-GGA.

```
TbNd2Pb3
1.0
2.516 -7.684 0.000
2.516 7.684 0.000
0.000 0.000 9.166
Tb Nd Pb
2 4 6
Direct
0.168 0.832 0.000 Tb
0.832 0.168 0.000 Tb
0.167 0.833 0.500 Nd
0.500 0.500 0.000 Nd
0.500 0.500 0.500 Nd
0.833 0.167 0.500 Nd
0.000 0.000 0.246 Pb
0.000 0.000 0.754 Pb
0.332 0.668 0.246 Pb
0.332 0.668 0.754 Pb
0.668 0.332 0.246 Pb
0.668 0.332 0.754 Pb
```

## Properties
As for the calculated formation energy: -0.50 eV/atom. As for the total magnetization: 0.1 μB/cell.